No. 1
Computed, not measured: a relaxed BaAl2As crystal at the GGA-PBE level of DFT.

Geometry as extended XYZ:
```
4
Lattice="3.087 -5.195 0.000 3.087 5.195 0.000 0.000 0.000 3.260" Properties=species:S:1:pos:R:3 pbc="T T T"
Ba 0.000 0.000 0.000
Al 1.544 2.598 1.630
Al 1.544 -2.598 1.630
As 3.087 0.000 0.000
```

Summary:
Energy of formation, meV per atom: 199
Energy, eV/atom: -3.32

=====

No. 2
Computed, not measured: a relaxed BaAl2As crystal at the GGA-PBE level of DFT.

Geometry as extended XYZ:
```
4
Lattice="3.723 0.000 0.000 0.000 3.723 0.000 0.000 0.000 7.113" Properties=species:S:1:pos:R:3 pbc="T T T"
Ba 0.000 0.000 0.000
Al 0.000 0.000 3.649
Al 1.861 1.861 2.346
As 1.861 1.861 4.830
```

Summary:
Energy of formation, meV per atom: -285
Energy, eV/atom: -3.80

=====

No. 3
Computed, not measured: a relaxed Ba4AlAs crystal at the GGA-PBE level of DFT.

Geometry as extended XYZ:
```
6
Lattice="0.000 4.986 4.986 4.986 0.000 4.986 4.986 4.986 0.000" Properties=species:S:1:pos:R:3 pbc="T T T"
Ba 3.749 3.749 3.749
Ba 6.223 6.223 3.749
Ba 6.223 3.749 6.223
Ba 3.749 6.223 6.223
Al 0.000 0.000 0.000
As 7.479 7.479 7.479
```

Summary:
Energy of formation, meV per atom: 432
Energy, eV/atom: -2.25

=====

No. 4
Computed, not measured: a relaxed Ba2Al2As crystal at the GGA-PBE level of DFT.

Geometry as extended XYZ:
```
10
Lattice="7.540 0.000 0.000 0.000 7.540 0.000 0.000 0.000 5.377" Properties=species:S:1:pos:R:3 pbc="T T T"
Ba 1.337 2.433 0.000
Ba 2.433 6.203 0.000
Ba 5.107 1.337 0.000
Ba 6.203 5.107 0.000
Al 0.964 4.734 2.689
Al 2.806 0.964 2.689
Al 4.734 6.576 2.689
Al 6.576 2.806 2.689
As 0.000 0.000 2.689
As 3.770 3.770 2.689
```

Summary:
Energy of formation, meV per atom: -218
Energy, eV/atom: -3.41

=====

No. 5
Computed, not measured: a relaxed BaAl2As crystal at the GGA-PBE level of DFT.

Geometry as extended XYZ:
```
4
Lattice="-1.987 2.188 6.301 1.987 -2.188 6.301 1.987 2.188 -6.301" Properties=species:S:1:pos:R:3 pbc="T T T"
Ba 0.000 0.000 0.000
Al 0.000 0.000 4.486
Al 0.000 2.188 2.836
As 1.987 0.000 2.777
```

Summary:
Energy of formation, meV per atom: -234
Energy, eV/atom: -3.75

=====

No. 6
Computed, not measured: a relaxed BaAl2As crystal at the GGA-PBE level of DFT.

Geometry as extended XYZ:
```
4
Lattice="2.317 1.338 5.966 -2.317 1.338 5.966 0.000 -2.676 5.966" Properties=species:S:1:pos:R:3 pbc="T T T"
Ba 0.000 0.000 0.000
Al 0.000 0.000 3.668
Al 0.000 0.000 14.230
As 0.000 0.000 8.949
```

Summary:
Energy of formation, meV per atom: -190
Energy, eV/atom: -3.70

=====

No. 7
Computed, not measured: a relaxed Ba3AlAs crystal at the GGA-PBE level of DFT.

Geometry as extended XYZ:
```
5
Lattice="6.315 0.000 0.000 0.000 6.315 0.000 0.000 0.000 6.315" Properties=species:S:1:pos:R:3 pbc="T T T"
Ba 0.000 0.000 3.157
Ba 0.000 3.157 0.000
Ba 3.157 0.000 0.000
Al 3.157 3.157 3.157
As 0.000 0.000 0.000
```

Summary:
Energy above the most stable polymorph in this dataset, meV per atom: 0
Energy of formation, meV per atom: -300
Energy, eV/atom: -3.13

=====

No. 8
Computed, not measured: a relaxed BaAl2As crystal at the GGA-PBE level of DFT.

Geometry as extended XYZ:
```
4
Lattice="-2.358 2.358 4.684 2.358 -2.358 4.684 2.358 2.358 -4.684" Properties=species:S:1:pos:R:3 pbc="T T T"
Ba 0.000 0.000 0.000
Al 2.358 0.000 2.342
Al 0.000 0.000 4.684
As 0.000 2.358 2.342
```

Summary:
Energy of formation, meV per atom: 6
Energy, eV/atom: -3.51

=====

No. 9
Computed, not measured: a relaxed BaAlAs4 crystal at the GGA-PBE level of DFT.

Geometry as extended XYZ:
```
6
Lattice="0.000 4.178 4.178 4.178 0.000 4.178 4.178 4.178 0.000" Properties=species:S:1:pos:R:3 pbc="T T T"
Ba 0.000 0.000 0.000
Al 6.266 6.266 6.266
As 3.216 3.216 3.216
As 5.139 5.139 3.216
As 5.139 3.216 5.139
As 3.216 5.139 5.139
```

Summary:
Energy of formation, meV per atom: -95
Energy, eV/atom: -4.14

=====

No. 10
Computed, not measured: a relaxed BaAl2As crystal at the GGA-PBE level of DFT.

Geometry as extended XYZ:
```
4
Lattice="2.299 1.327 5.843 -2.299 1.327 5.843 0.000 -2.655 5.843" Properties=species:S:1:pos:R:3 pbc="T T T"
Ba 0.000 0.000 0.000
Al 0.000 0.000 8.517
Al 0.000 0.000 13.925
As 0.000 0.000 3.534
```

Summary:
Energy of formation, meV per atom: -326
Energy, eV/atom: -3.84

=====

No. 11
Computed, not measured: a relaxed BaAl2As crystal at the GGA-PBE level of DFT.

Geometry as extended XYZ:
```
4
Lattice="3.681 0.000 0.000 0.000 3.681 0.000 0.000 0.000 7.418" Properties=species:S:1:pos:R:3 pbc="T T T"
Ba 0.000 0.000 0.000
Al 1.841 1.841 2.427
Al 1.841 1.841 4.991
As 0.000 0.000 3.709
```

Summary:
Energy of formation, meV per atom: -161
Energy, eV/atom: -3.67

=====

No. 12
Computed, not measured: a relaxed BaAl2As crystal at the GGA-PBE level of DFT.

Geometry as extended XYZ:
```
4
Lattice="4.775 0.000 0.000 0.000 4.664 0.000 -0.841 0.000 5.288" Properties=species:S:1:pos:R:3 pbc="T T T"
Ba 0.000 0.000 0.000
Al 0.781 2.332 3.226
Al 3.153 2.332 2.063
As 1.967 0.000 2.644
```

Summary:
Energy of formation, meV per atom: -273
Energy, eV/atom: -3.79

=====

No. 13
Computed, not measured: a relaxed BaAl2As crystal at the GGA-PBE level of DFT.

Geometry as extended XYZ:
```
4
Lattice="-2.233 2.233 5.318 2.233 -2.233 5.318 2.233 2.233 -5.318" Properties=species:S:1:pos:R:3 pbc="T T T"
Ba 0.000 0.000 0.000
Al 2.233 0.000 2.659
Al 0.000 2.233 2.659
As 0.000 0.000 5.318
```

Summary:
Energy of formation, meV per atom: 33
Energy, eV/atom: -3.48

=====

No. 14
Computed, not measured: a relaxed BaAl2As crystal at the GGA-PBE level of DFT.

Geometry as extended XYZ:
```
4
Lattice="-1.829 2.899 5.053 1.829 -2.899 5.053 1.829 2.899 -5.053" Properties=species:S:1:pos:R:3 pbc="T T T"
Ba 0.000 0.000 0.000
Al 1.829 0.000 3.099
Al 0.000 2.899 1.954
As 0.000 0.000 5.053
```

Summary:
Energy of formation, meV per atom: -160
Energy, eV/atom: -3.67

=====

No. 15
Computed, not measured: a relaxed Ba3AlAs3 crystal at the GGA-PBE level of DFT.

Geometry as extended XYZ:
```
28
Lattice="10.055 -3.474 0.000 10.055 3.474 0.000 0.000 0.000 13.454" Properties=species:S:1:pos:R:3 pbc="T T T"
Ba 6.518 2.163 1.746
Ba 6.518 1.311 8.473
Ba 10.055 2.296 11.406
Ba 10.055 1.178 4.679
Ba 13.591 2.163 1.746
Ba 13.591 1.311 8.473
Ba 6.518 -1.311 4.980
Ba 6.518 -2.163 11.707
Ba 10.055 -1.178 8.775
Ba 10.055 -2.296 2.048
Ba 13.591 -1.311 4.980
Ba 13.591 -2.163 11.707
Al 1.665 0.000 6.727
Al 8.390 0.000 0.000
Al 11.720 0.000 0.000
Al 18.445 0.000 6.727
As 6.908 2.142 5.142
As 6.908 1.332 11.869
As 10.055 2.069 8.023
As 10.055 1.405 1.296
As 13.201 2.142 5.142
As 13.201 1.332 11.869
As 6.908 -1.332 1.585
As 6.908 -2.142 8.311
As 10.055 -1.405 12.158
As 10.055 -2.069 5.431
As 13.201 -1.332 1.585
As 13.201 -2.142 8.311
```

Summary:
Energy of formation, meV per atom: -1051
Energy, eV/atom: -4.40

=====

No. 16
Computed, not measured: a relaxed Ba4Al2As crystal at the GGA-PBE level of DFT.

Geometry as extended XYZ:
```
7
Lattice="-3.287 3.287 7.958 3.287 -3.287 7.958 3.287 3.287 -7.958" Properties=species:S:1:pos:R:3 pbc="T T T"
Ba 3.287 0.000 0.000
Ba 0.000 0.000 3.117
Ba 0.000 3.287 0.000
Ba 0.000 0.000 12.798
Al 0.000 0.000 6.628
Al 0.000 0.000 9.288
As 0.000 0.000 0.000
```

Summary:
Energy of formation, meV per atom: -206
Energy, eV/atom: -3.04

=====

No. 17
Computed, not measured: a relaxed BaAl2As crystal at the GGA-PBE level of DFT.

Geometry as extended XYZ:
```
8
Lattice="-4.145 4.145 3.260 4.145 -4.145 3.260 4.145 4.145 -3.260" Properties=species:S:1:pos:R:3 pbc="T T T"
Ba 0.000 0.000 0.000
Ba 0.000 4.145 1.630
Al 2.073 -1.479 2.445
Al 2.666 2.073 0.815
Al 2.073 5.625 -0.815
Al 1.479 2.073 4.075
As 4.145 0.000 1.630
As 0.000 0.000 3.260
```

Summary:
Energy of formation, meV per atom: -189
Energy, eV/atom: -3.70

=====

No. 18
Computed, not measured: a relaxed BaAl2As crystal at the GGA-PBE level of DFT.

Geometry as extended XYZ:
```
4
Lattice="3.983 0.000 0.000 0.000 4.205 0.000 0.000 0.000 6.354" Properties=species:S:1:pos:R:3 pbc="T T T"
Ba 0.000 0.000 0.000
Al 0.000 2.102 2.858
Al 1.992 0.000 2.950
As 1.992 2.102 4.676
```

Summary:
Energy of formation, meV per atom: -398
Energy, eV/atom: -3.91

=====

No. 19
Computed, not measured: a relaxed BaAl2As crystal at the GGA-PBE level of DFT.

Geometry as extended XYZ:
```
4
Lattice="4.548 0.000 0.000 0.000 4.548 0.000 0.000 0.000 4.987" Properties=species:S:1:pos:R:3 pbc="T T T"
Ba 0.000 0.000 0.000
Al 0.000 2.274 2.494
Al 2.274 0.000 2.494
As 2.274 2.274 0.000
```

Summary:
Energy of formation, meV per atom: -75
Energy, eV/atom: -3.59

=====

No. 20
Computed, not measured: a relaxed BaAl2As crystal at the GGA-PBE level of DFT.

Geometry as extended XYZ:
```
4
Lattice="4.477 -2.001 0.000 4.477 2.001 0.000 -1.887 0.000 6.037" Properties=species:S:1:pos:R:3 pbc="T T T"
Ba 0.000 0.000 0.000
Al 0.756 0.000 3.844
Al 6.311 0.000 2.193
As 3.534 0.000 3.019
```

Summary:
Energy of formation, meV per atom: -219
Energy, eV/atom: -3.73

=====

No. 21
Computed, not measured: a relaxed Ba2AlBiAs crystal at the GGA-PBE level of DFT.

Geometry as extended XYZ:
```
10
Lattice="7.886 0.000 0.000 0.000 4.795 0.000 -3.117 0.000 9.999" Properties=species:S:1:pos:R:3 pbc="T T T"
Ba 0.459 1.199 3.969
Ba -1.129 1.199 9.808
Ba 5.897 3.596 0.191
Ba 4.310 3.596 6.031
Al 3.014 3.596 2.569
Al 1.754 1.199 7.430
Bi 0.324 3.596 7.007
Bi 4.445 1.199 2.992
As 0.769 3.596 1.754
As 4.000 1.199 8.245
```

Summary:
Energy above the most stable polymorph in this dataset, meV per atom: 0
Energy of formation, meV per atom: -776
Energy, eV/atom: -4.00

=====

No. 22
Computed, not measured: a relaxed Ba2AlBiAs crystal at the GGA-PBE level of DFT.

Geometry as extended XYZ:
```
5
Lattice="6.594 0.000 0.000 0.000 6.594 0.000 0.000 0.000 4.617" Properties=species:S:1:pos:R:3 pbc="T T T"
Ba 0.000 3.297 0.000
Ba 3.297 0.000 0.000
Al 0.000 0.000 0.000
Bi 3.297 3.297 2.309
As 0.000 0.000 2.309
```

Summary:
Energy above the most stable polymorph in this dataset, meV per atom: 505
Energy of formation, meV per atom: -271
Energy, eV/atom: -3.49

=====

No. 23
Computed, not measured: a relaxed BaCaAlAs2 crystal at the GGA-PBE level of DFT.

Geometry as extended XYZ:
```
10
Lattice="7.541 0.000 0.000 0.000 5.547 0.000 -2.102 0.000 7.508" Properties=species:S:1:pos:R:3 pbc="T T T"
Ba -0.526 1.216 1.877
Ba -1.577 4.331 5.631
Ca 2.194 2.699 5.631
Ca 3.245 2.848 1.877
Al 3.770 0.000 0.000
Al 2.719 0.000 3.754
As -0.133 1.475 7.047
As 0.918 4.072 3.293
As 4.521 1.475 4.214
As 5.572 4.072 0.461
```

Summary:
Energy of formation, meV per atom: -696
Energy, eV/atom: -4.09

=====

No. 24
Computed, not measured: a relaxed BaCa2Al2As4 crystal at the GGA-PBE level of DFT.

Geometry as extended XYZ:
```
9
Lattice="8.198 -2.029 0.000 8.198 2.029 0.000 -4.153 0.000 7.777" Properties=species:S:1:pos:R:3 pbc="T T T"
Ba 0.000 0.000 0.000
Ca -0.803 0.000 4.856
Ca 13.047 0.000 2.921
Al 2.812 0.000 4.802
Al 9.432 0.000 2.975
As 2.601 0.000 2.219
As 5.158 0.000 5.388
As 7.085 0.000 2.389
As 9.643 0.000 5.558
```

Summary:
Energy of formation, meV per atom: -848
Energy, eV/atom: -4.40

=====

No. 25
Computed, not measured: a relaxed BaAl2CuAs crystal at the GGA-PBE level of DFT.

Geometry as extended XYZ:
```
5
Lattice="5.934 0.000 0.000 0.000 5.934 0.000 0.000 0.000 5.272" Properties=species:S:1:pos:R:3 pbc="T T T"
Ba 0.000 0.000 0.000
Al 0.000 2.967 0.000
Al 2.967 0.000 0.000
Cu 0.000 0.000 2.636
As 2.967 2.967 2.636
```

Summary:
Energy of formation, meV per atom: 1581
Energy, eV/atom: -2.05

=====

No. 26
Computed, not measured: a relaxed Ba2AlFeAs crystal at the GGA-PBE level of DFT.

Geometry as extended XYZ:
```
5
Lattice="6.042 0.000 0.000 0.000 6.042 0.000 0.000 0.000 4.457" Properties=species:S:1:pos:R:3 pbc="T T T"
Ba 0.000 3.021 0.000
Ba 3.021 0.000 0.000
Al 0.000 0.000 2.228
Fe 3.021 3.021 0.000
As 3.021 3.021 2.228
```

Summary:
Energy of formation, meV per atom: 57
Energy, eV/atom: -4.08

=====

No. 27
Computed, not measured: a relaxed BaAlGa2As crystal at the GGA-PBE level of DFT.

Geometry as extended XYZ:
```
5
Lattice="5.022 0.000 0.000 0.000 5.022 0.000 0.000 0.000 5.222" Properties=species:S:1:pos:R:3 pbc="T T T"
Ba 0.000 0.000 0.000
Al 2.511 2.511 2.611
Ga 0.000 2.511 2.611
Ga 2.511 0.000 2.611
As 2.511 2.511 0.000
```

Summary:
Energy of formation, meV per atom: -209
Energy, eV/atom: -3.48